Here is an optimized crystal structure of CeSi2Ge from the Alexandria database. Energies are from PBE-GGA.

Results
energy relative to the elements, uncorrected: -386.3 meV/atom
DOS at the Fermi energy: 3.40 states/eV/cell
energy above the most stable polymorph in this dataset: 0 meV/atom
magnetic moment: 0.00 μB per formula unit

Cell: 4.2084 4.2225 4.2225 Å, 90.00 90.00 90.00°
Positions (direct):
Ge 0.5000 0.5000 0.5000
Si 0.0000 0.0000 0.5000
Si 0.0000 0.5000 0.0000
Ce 0.5000 0.0000 0.0000



Here is an optimized crystal structure of Ce2TcGe2H4 from the Alexandria database. Energies are from PBE-GGA.

Results
DOS at the Fermi energy: 13.25 states/eV/cell
raw total energy: -5.197 eV/atom
magnetic moment: 1.95 μB per formula unit

Cell: 5.5568 5.5568 5.5568 Å, 98.53 115.20 115.20°
Each line ends with the local moment (μB).
Positions (direct):
Ce 0.5000 0.7500 0.2500  0.75
Ce 0.5000 0.2500 0.7500  0.75
Tc 0.0000 0.0000 0.0000  0.06
Ge 0.0000 0.6641 0.6641  0.02
Ge 0.0000 0.3359 0.3359  0.02
H 0.0000 0.7884 0.2116  0.00
H 0.5769 0.7884 0.7884  0.00
H 0.0000 0.2116 0.7884  0.00
H 0.4231 0.2116 0.2116  0.00



Here is an optimized crystal structure of YBe3Tc from the Alexandria database. Energies are from PBE-GGA.

Results
DOS at the Fermi energy: 0.68 states/eV/cell
energy above the most stable polymorph in this dataset: 0 meV/atom
calculated formation energy: 2.38 kcal/mol of atoms
magnetic moment: 0.00 μB per formula unit

Cell: 4.2765 4.2765 4.2765 Å, 90.00 90.00 90.00°
Positions (direct):
Y 0.5000 0.5000 0.5000
Be 0.0000 0.5000 0.0000
Be 0.0000 0.0000 0.5000
Be 0.5000 0.0000 0.0000
Tc 0.0000 0.0000 0.0000



Here is an optimized crystal structure of SrPrPd from the Alexandria database. Energies are from PBE-GGA.

Results
DOS at the Fermi energy: 3.64 states/eV/cell
energy above the most stable polymorph in this dataset: 161 meV/atom
calculated formation energy: -7.61 kcal/mol of atoms
magnetic moment: 0.00 μB per formula unit

Cell: 5.1711 5.1711 5.1711 Å, 60.00 60.00 60.00°
Positions (direct):
Pr 0.5000 0.5000 0.5000
Sr 0.0000 0.0000 0.0000
Pd 0.2500 0.2500 0.2500



Here is an optimized crystal structure of Li2VPb from the Alexandria database. Energies are from PBE-GGA.

Results
DOS at the Fermi energy: 1.44 states/eV/cell
calculated formation energy: 8.75 kcal/mol of atoms
magnetic moment: 3.12 μB per formula unit

Cell: 7.5520 7.5520 6.0219 Å, 51.17 51.17 90.00°
Each line ends with the local moment (μB).
Positions (direct):
Pb 0.0000 0.0000 0.0000  -0.11
Pb 0.7500 0.2500 0.5000  -0.11
V 0.5000 0.5000 0.0000  2.65
V 0.2500 0.7500 0.5000  2.65
Li 0.6209 0.1250 0.2500  0.02
Li 0.1291 0.6250 0.2500  0.02
Li 0.3750 0.3791 0.7500  0.02
Li 0.8750 0.8709 0.7500  0.02



Here is an optimized crystal structure of BiSb from the Alexandria database. Energies are from PBE-GGA.

Results
energy relative to the elements, uncorrected: 58.3 meV/atom
DOS at the Fermi energy: 1.88 states/eV/cell
energy above the most stable polymorph in this dataset: 65 meV/atom
magnetic moment: 0.00 μB per formula unit

Cell: 4.4573 3.2181 9.6517 Å, 70.58 90.00 90.00°
Positions (direct):
Sb 0.2500 0.1180 0.3826
Sb 0.7500 0.8820 0.6174
Bi 0.2500 0.6343 0.8663
Bi 0.7500 0.3657 0.1337



Here is an optimized crystal structure of Ti6HgBi3 from the Alexandria database. Energies are from PBE-GGA.

Results
DOS at the Fermi energy: 20.40 states/eV/cell
calculated formation energy: 0.20 kcal/mol of atoms
magnetic moment: 0.00 μB per formula unit

Cell: 7.1798 8.1394 8.1394 Å, 115.39 90.00 90.00°
Positions (direct):
Ti 0.1034 0.7847 0.6032
Ti 0.6034 0.6032 0.7847
Ti 0.3043 0.5594 0.9995
Ti 0.8043 0.9995 0.5594
Ti 0.3039 0.9362 0.0638
Ti 0.5323 0.2593 0.7407
Ti 0.0323 0.7407 0.2593
Ti 0.8039 0.0638 0.9362
Ti 0.3043 0.0005 0.4406
Ti 0.8043 0.4406 0.0005
Ti 0.1034 0.3968 0.2153
Ti 0.6034 0.2153 0.3968
Hg 0.1081 0.1939 0.8061
Hg 0.6081 0.8061 0.1939
Bi 0.4749 0.8933 0.7058
Bi 0.9749 0.7058 0.8933
Bi 0.2760 0.4241 0.5759
Bi 0.7760 0.5759 0.4241
Bi 0.9749 0.1067 0.2942
Bi 0.4749 0.2942 0.1067



Here is an optimized crystal structure of LaCo4Ag from the Alexandria database. Energies are from PBE-GGA.

Results
DOS at the Fermi energy: 7.30 states/eV/cell
calculated formation energy: 2.03 kcal/mol of atoms
magnetic moment: 5.76 μB per formula unit

Cell: 5.0800 5.0800 5.0800 Å, 60.00 60.00 60.00°
Each line ends with the local moment (μB).
Positions (direct):
La 0.7500 0.7500 0.7500  -0.20
Co 0.8766 0.3745 0.3745  1.56
Co 0.3745 0.3745 0.8766  1.56
Co 0.3745 0.8766 0.3745  1.56
Co 0.3745 0.3745 0.3745  1.56
Ag 0.0000 0.0000 0.0000  -0.01